Entry 1:
FeO2 | GGA+U | optimized geometry

The value obtained for the total magnetic moment is 2.000 μB/f.u. Its final energy is -142.48 eV/cell.

a = 2.8765 Å, b = 8.5912 Å, c = 10.3509 Å
α = 90.00°, β = 90.00°, γ = 90.00°
Last column: magnetic moment on the atom in μB.
Atoms (fractional coordinates):
O (0.7500, 0.5382, 0.2854)  -0.14
O (0.7500, 0.6172, 0.5199)  -0.33
O (0.7500, 0.6953, 0.8467)  -0.18
Fe (0.7500, 0.4133, 0.6013)  2.55
Fe (0.2500, 0.5545, 0.8836)  2.56
O (0.2500, 0.3828, 0.4801)  -0.33
O (0.7500, 0.9161, 0.5689)  -0.34
O (0.7500, 0.0382, 0.2146)  -0.14
O (0.7500, 0.4161, 0.9311)  -0.34
O (0.2500, 0.8047, 0.3467)  -0.18
O (0.2500, 0.0839, 0.4311)  -0.34
O (0.2500, 0.4618, 0.7146)  -0.14
O (0.2500, 0.9618, 0.7854)  -0.14
O (0.2500, 0.8828, 0.0199)  -0.33
Fe (0.7500, 0.9455, 0.3836)  2.56
Fe (0.2500, 0.5867, 0.3987)  2.55
Fe (0.2500, 0.0545, 0.6164)  2.56
O (0.2500, 0.5839, 0.0689)  -0.34
Fe (0.7500, 0.9133, 0.8987)  2.55
O (0.2500, 0.3047, 0.1533)  -0.18
Fe (0.7500, 0.4455, 0.1164)  2.56
O (0.7500, 0.1172, 0.9801)  -0.33
O (0.7500, 0.1953, 0.6533)  -0.18
Fe (0.2500, 0.0867, 0.1013)  2.55

***

Entry 2:
FeO2 | GGA+U | optimized geometry

The value obtained for the total magnetic moment is 2.002 μB/f.u. Its final energy is -71.41 eV/cell.

a = 5.7439 Å, b = 5.7439 Å, c = 5.7439 Å
α = 118.63°, β = 118.63°, γ = 92.39°
Last column: magnetic moment on the atom in μB.
Atoms (fractional coordinates):
Fe (0.3750, 0.6250, 0.7500)  2.52
O (0.1378, 0.4195, 0.2817)  -0.23
O (0.1439, 0.8622, 0.2817)  -0.23
O (0.1695, 0.3878, 0.7817)  -0.23
O (0.5805, 0.8622, 0.7183)  -0.23
Fe (0.3750, 0.6250, 0.2500)  2.52
Fe (0.8750, 0.6250, 0.2500)  2.52
O (0.6122, 0.3939, 0.7817)  -0.23
O (0.1378, 0.8561, 0.7183)  -0.23
O (0.6122, 0.8305, 0.2183)  -0.23
Fe (0.3750, 0.1250, 0.7500)  2.52
O (0.6061, 0.3878, 0.2183)  -0.23

***

Entry 3:
Fe14O15 | GGA+U | optimized geometry

The value obtained for the total magnetic moment is 58.105 μB/f.u. Its final energy is -192.87 eV/cell.

a = 8.1377 Å, b = 8.1377 Å, c = 8.1377 Å
α = 129.49°, β = 129.49°, γ = 74.23°
Last column: magnetic moment on the atom in μB.
Atoms (fractional coordinates):
O (0.3816, 0.7624, 0.8060)  0.20
Fe (0.8690, 0.2575, 0.8007)  3.79
O (0.5757, 0.3816, 0.6192)  0.20
O (0.6184, 0.2376, 0.1940)  0.20
Fe (0.1960, 0.6153, 0.8113)  3.81
O (0.1841, 0.1841, 0.0000)  0.21
Fe (0.7425, 0.5432, 0.6115)  3.79
Fe (0.1310, 0.7425, 0.1993)  3.79
Fe (0.0683, 0.8690, 0.6115)  3.79
Fe (0.3847, 0.1960, 0.5808)  3.81
O (0.7624, 0.9565, 0.3808)  0.20
Fe (0.5432, 0.9317, 0.8007)  3.79
Fe (0.9317, 0.1310, 0.3885)  3.79
Fe (0.8040, 0.3847, 0.1887)  3.81
Fe (0.2575, 0.4568, 0.3885)  3.79
O (0.0435, 0.4243, 0.8060)  0.20
Fe (0.4568, 0.0683, 0.1993)  3.79
Fe (0.3390, 0.3390, 0.0000)  4.33
Fe (0.6610, 0.6610, 0.0000)  4.33
O (0.4243, 0.6184, 0.3808)  0.20
O (0.6769, 0.1139, 0.7907)  0.15
O (0.9565, 0.5757, 0.1940)  0.20
O (0.5000, 0.5000, 0.0000)  0.23
O (0.8159, 0.8159, 0.0000)  0.21
O (0.8861, 0.6769, 0.5630)  0.15
O (0.2376, 0.0435, 0.6192)  0.20
Fe (0.6153, 0.8040, 0.4192)  3.81
O (0.1139, 0.3231, 0.4370)  0.15
O (0.3231, 0.8861, 0.2093)  0.15

***

Entry 4:
Fe5O7 | GGA+U | optimized geometry

The value obtained for the total magnetic moment is 20.000 μB/f.u. Its final energy is -77.40 eV/cell. As for the offset from the most stable computed form: 72.4 meV per atom.

a = 5.0504 Å, b = 5.0504 Å, c = 8.7648 Å
α = 76.07°, β = 76.07°, γ = 33.19°
Last column: magnetic moment on the atom in μB.
Atoms (fractional coordinates):
Fe (0.6944, 0.6944, 0.1808)  4.13
O (0.6475, 0.6475, 0.9550)  0.08
O (0.5000, 0.5000, 0.5000)  0.32
Fe (0.3056, 0.3056, 0.8192)  4.13
O (0.3525, 0.3525, 0.0450)  0.08
Fe (0.0000, 0.0000, 0.0000)  1.24
O (0.9634, 0.9634, 0.7903)  0.20
Fe (0.1106, 0.1106, 0.5873)  4.34
O (0.7392, 0.7392, 0.6382)  0.31
O (0.2608, 0.2608, 0.3618)  0.31
O (0.0366, 0.0366, 0.2097)  0.20
Fe (0.8894, 0.8894, 0.4127)  4.34

***

Entry 5:
Fe17O18 | GGA+U | optimized geometry

The value obtained for the total magnetic moment is 70.099 μB/f.u. Its final energy is -232.86 eV/cell.

a = 6.9199 Å, b = 8.1314 Å, c = 8.2220 Å
α = 110.64°, β = 95.47°, γ = 114.56°
Last column: magnetic moment on the atom in μB.
Atoms (fractional coordinates):
O (0.5691, 0.3535, 0.0111)  0.20
Fe (0.3227, 0.4369, 0.1043)  3.79
Fe (0.6698, 0.2269, 0.5563)  3.79
O (0.4129, 0.9556, 0.2952)  0.19
O (0.4309, 0.6465, 0.9889)  0.20
Fe (0.8352, 0.9460, 0.6161)  3.79
O (0.2736, 0.9205, 0.9015)  0.21
O (0.0734, 0.5165, 0.1863)  0.15
O (0.7574, 0.4165, 0.4144)  0.16
O (0.2705, 0.2740, 0.2631)  0.15
Fe (0.1703, 0.3952, 0.7144)  3.77
O (0.9266, 0.4835, 0.8137)  0.15
Fe (0.0001, 0.3230, 0.3242)  3.81
Fe (0.6773, 0.5631, 0.8957)  3.79
Fe (0.3281, 0.1082, 0.7829)  4.34
O (0.8986, 0.1278, 0.4583)  0.20
Fe (0.8297, 0.6048, 0.2856)  3.77
Fe (0.5000, 0.5000, 0.5000)  3.78
O (0.7264, 0.0795, 0.0985)  0.21
O (0.5871, 0.0444, 0.7048)  0.19
Fe (0.8384, 0.2739, 0.9488)  3.79
Fe (0.9999, 0.6770, 0.6758)  3.81
Fe (0.3302, 0.7731, 0.4437)  3.79
O (0.2426, 0.5835, 0.5856)  0.16
O (0.5903, 0.7155, 0.3672)  0.19
Fe (0.1616, 0.7261, 0.0512)  3.79
O (0.0953, 0.1985, 0.8357)  0.20
Fe (0.1648, 0.0540, 0.3839)  3.79
O (0.7295, 0.7260, 0.7369)  0.15
O (0.4097, 0.2845, 0.6328)  0.19
O (0.1014, 0.8722, 0.5417)  0.20
O (0.9047, 0.8015, 0.1643)  0.20
Fe (0.4814, 0.1621, 0.1619)  3.79
Fe (0.5186, 0.8379, 0.8381)  3.79
Fe (0.6719, 0.8918, 0.2171)  4.34

***

Entry 6:
FeO2 | GGA+U | optimized geometry

The value obtained for the total magnetic moment is 2.014 μB/f.u. Its final energy is -71.47 eV/cell.

a = 7.1423 Å, b = 7.1423 Å, c = 7.1423 Å
α = 92.33°, β = 92.33°, γ = 156.71°
Last column: magnetic moment on the atom in μB.
Atoms (fractional coordinates):
O (0.8318, 0.5412, 0.3730)  -0.14
Fe (0.8344, 0.3491, 0.1835)  2.53
Fe (0.6509, 0.8344, 0.4852)  2.53
O (0.4588, 0.8318, 0.2907)  -0.14
O (0.7950, 0.1564, 0.9514)  -0.32
O (0.1564, 0.2050, 0.3614)  -0.32
O (0.5412, 0.1682, 0.7093)  -0.14
O (0.8436, 0.7950, 0.6386)  -0.32
Fe (0.1656, 0.6509, 0.8165)  2.53
O (0.2050, 0.8436, 0.0486)  -0.32
Fe (0.3491, 0.1656, 0.5148)  2.53
O (0.1682, 0.4588, 0.6270)  -0.14

***

Entry 7:
Fe5O8 | GGA+U | optimized geometry

The value obtained for the total magnetic moment is 10.001 μB/f.u. Its final energy is -77.86 eV/cell. As for the offset from the most stable computed form: 174.1 meV per atom.

a = 5.7867 Å, b = 5.7867 Å, c = 5.7867 Å
α = 60.00°, β = 60.00°, γ = 60.00°
Last column: magnetic moment on the atom in μB.
Atoms (fractional coordinates):
Fe (0.1205, 0.1205, 0.6384)  1.34
O (0.3331, 0.8890, 0.8890)  0.01
O (0.8890, 0.3331, 0.8890)  0.01
O (0.9062, 0.3646, 0.3646)  0.08
O (0.8890, 0.8890, 0.3331)  0.01
O (0.3646, 0.3646, 0.3646)  0.08
Fe (0.1205, 0.6384, 0.1205)  1.34
Fe (0.5000, 0.5000, 0.5000)  4.25
Fe (0.6384, 0.1205, 0.1205)  1.34
O (0.3646, 0.3646, 0.9062)  0.08
Fe (0.1205, 0.1205, 0.1205)  1.34
O (0.8890, 0.8890, 0.8890)  0.01
O (0.3646, 0.9062, 0.3646)  0.08

***

Entry 8:
Fe3O4 | GGA+U | optimized geometry

The value obtained for the total magnetic moment is 10.000 μB/f.u. Its final energy is -45.13 eV/cell.

a = 2.9834 Å, b = 5.0665 Å, c = 5.2288 Å
α = 104.71°, β = 90.02°, γ = 90.00°
Last column: magnetic moment on the atom in μB.
Atoms (fractional coordinates):
O (0.9997, 0.2954, 0.7941)  0.07
O (0.0001, 0.7046, 0.2059)  0.07
Fe (0.9999, 0.0000, 0.0000)  4.36
O (0.5000, 0.2364, 0.2165)  0.19
O (0.4997, 0.7636, 0.7835)  0.19
Fe (0.4999, 0.5000, 0.0000)  1.14
Fe (0.9999, 0.5000, 0.5000)  3.81